1.
La4AgRh PBE relaxed; energy of formation = -0.39 eV/atom; raw total energy = -5.3754 eV per atom; crystal system = cubic
1.0
8.686 0.000 5.015
2.895 8.189 5.015
0.000 0.000 10.029
La Ag Rh
16 4 4
direct
0.812 0.188 0.188 La
0.188 0.812 0.812 La
0.400 0.400 0.799 La
0.941 0.559 0.559 La
0.559 0.559 0.941 La
0.400 0.799 0.400 La
0.400 0.400 0.400 La
0.188 0.188 0.812 La
0.812 0.188 0.812 La
0.941 0.559 0.941 La
0.559 0.941 0.941 La
0.559 0.941 0.559 La
0.812 0.812 0.188 La
0.941 0.941 0.559 La
0.799 0.400 0.400 La
0.188 0.812 0.188 La
0.169 0.492 0.169 Ag
0.169 0.169 0.169 Ag
0.492 0.169 0.169 Ag
0.169 0.169 0.492 Ag
0.609 0.609 0.174 Rh
0.609 0.174 0.609 Rh
0.174 0.609 0.609 Rh
0.609 0.609 0.609 Rh

***

2.
LaAg2Rh2 PBE relaxed; energy of formation = -0.13 eV/atom; raw total energy = -5.1933 eV per atom; crystal system = tetragonal
1.0
-0.135 6.370 -2.952
-0.588 -2.952 -6.344
-3.966 0.071 0.335
La Rh Ag
2 4 4
direct
0.500 0.500 0.000 La
0.000 0.000 0.000 La
0.862 0.638 0.000 Rh
0.362 0.862 0.000 Rh
0.638 0.138 0.000 Rh
0.138 0.362 0.000 Rh
0.848 0.348 0.500 Ag
0.348 0.152 0.500 Ag
0.152 0.652 0.500 Ag
0.652 0.848 0.500 Ag

***

The highest raw total energy belongs to which entry?
LaAg2Rh2

***

Which of these has the highest energy of formation?
LaAg2Rh2

***

Copy entry 2 word for word.
LaAg2Rh2 PBE relaxed; energy of formation = -0.13 eV/atom; raw total energy = -5.1933 eV per atom; crystal system = tetragonal
1.0
-0.135 6.370 -2.952
-0.588 -2.952 -6.344
-3.966 0.071 0.335
La Rh Ag
2 4 4
direct
0.500 0.500 0.000 La
0.000 0.000 0.000 La
0.862 0.638 0.000 Rh
0.362 0.862 0.000 Rh
0.638 0.138 0.000 Rh
0.138 0.362 0.000 Rh
0.848 0.348 0.500 Ag
0.348 0.152 0.500 Ag
0.152 0.652 0.500 Ag
0.652 0.848 0.500 Ag

***

Which of these has the lowest raw total energy?
La4AgRh